# 1
Crystalline CsHoAlS4 at its relaxed geometry, computed with PBE.

abc: 6.875 5.697 9.903
angles: 90.00 104.70 90.00
Site moments in Bohr magnetons follow the coordinates.
Element x y z (fractional)
Ho: 0.253 0.250 0.556  0.01
Ho: 0.747 0.750 0.444  0.01
S: 0.000 0.014 0.311  0.06
S: 0.456 0.750 0.198  0.00
S: 0.000 0.486 0.311  0.06
S: 0.544 0.250 0.802  0.00
S: 0.000 0.986 0.689  0.06
S: 0.581 0.250 0.434  0.00
S: 0.000 0.514 0.689  0.06
S: 0.419 0.750 0.566  0.00
Al: 0.258 0.750 0.341  0.00
Al: 0.742 0.250 0.659  0.00
Cs: 0.754 0.750 0.962  0.00
Cs: 0.246 0.250 0.038  0.00

Calculated values
ρ: 4.01 g cm⁻³
SG: P2_1/m (11)
Energy relative to the elements, uncorrected: -1383 meV/atom
Energy: -5.052 eV/atom



# 2
Crystalline Cs2HoAlS4 at its relaxed geometry, computed with PBE.

abc: 6.226 7.946 13.349
angles: 84.76 76.51 66.94
Element x y z (fractional)
Cs: 0.821 0.000 0.357
Cs: 0.179 0.000 0.643
Cs: 0.929 0.500 0.143
Cs: 0.571 0.500 0.857
Al: 0.250 0.500 0.500
Al: 0.500 0.000 0.000
Ho: 0.750 0.500 0.500
Ho: 0.000 0.000 0.000
S: 0.575 0.185 0.098
S: 0.858 0.815 0.902
S: 0.510 0.315 0.598
S: 0.240 0.185 0.902
S: 0.175 0.315 0.402
S: 0.326 0.815 0.098
S: 0.892 0.685 0.598
S: 0.424 0.685 0.402

Calculated values
ρ: 3.29 g cm⁻³
SG: Fddd (70)
Energy relative to the elements, uncorrected: -1454 meV/atom
Energy: -4.771 eV/atom



# 3
Crystalline Cs3Ho3AlS8 at its relaxed geometry, computed with PBE.

abc: 7.888 7.893 9.404
angles: 114.86 90.00 119.98
Element x y z (fractional)
S: 0.210 0.959 0.669
S: 0.273 0.546 0.318
S: 0.790 0.580 0.331
S: 0.210 0.420 0.669
S: 0.727 0.454 0.682
S: 0.749 0.959 0.669
S: 0.251 0.041 0.331
S: 0.790 0.041 0.331
Cs: 0.000 0.000 0.000
Cs: 0.500 0.500 0.000
Cs: 0.000 0.500 0.000
Al: 0.000 0.000 0.500
Ho: 0.000 0.500 0.500
Ho: 0.500 0.000 0.500
Ho: 0.500 0.500 0.500

Calculated values
ρ: 4.41 g cm⁻³
SG: R-3m (166)
Energy relative to the elements, uncorrected: -1550 meV/atom
Energy: -5.087 eV/atom



# 4
Crystalline CsHoAlSe4 at its relaxed geometry, computed with PBE.

abc: 7.156 6.047 10.219
angles: 90.00 105.27 90.00
Element x y z (fractional)
Se: 0.993 0.012 0.307
Se: 0.541 0.250 0.808
Se: 0.007 0.512 0.693
Se: 0.459 0.750 0.192
Se: 0.425 0.750 0.575
Se: 0.007 0.988 0.693
Se: 0.993 0.488 0.307
Se: 0.575 0.250 0.425
Ho: 0.252 0.250 0.552
Ho: 0.748 0.750 0.448
Al: 0.739 0.250 0.659
Al: 0.261 0.750 0.341
Cs: 0.245 0.250 0.044
Cs: 0.755 0.750 0.956

Calculated values
ρ: 4.99 g cm⁻³
SG: P2_1/m (11)
Energy relative to the elements, uncorrected: -1273 meV/atom
Energy: -4.575 eV/atom



# 5
Crystalline CsHoAlTe4 at its relaxed geometry, computed with PBE.

abc: 7.643 6.619 10.776
angles: 90.00 106.23 90.00
Element x y z (fractional)
Al: 0.737 0.250 0.660
Al: 0.263 0.750 0.340
Cs: 0.235 0.250 0.050
Cs: 0.765 0.750 0.950
Te: 0.543 0.250 0.819
Te: 0.014 0.509 0.696
Te: 0.433 0.750 0.584
Te: 0.986 0.491 0.304
Te: 0.014 0.991 0.696
Te: 0.986 0.009 0.304
Te: 0.567 0.250 0.416
Te: 0.457 0.750 0.181
Ho: 0.254 0.250 0.551
Ho: 0.746 0.750 0.449

Calculated values
ρ: 5.30 g cm⁻³
SG: P2_1/m (11)
Energy relative to the elements, uncorrected: -916 meV/atom
Energy: -4.022 eV/atom



# 6
Crystalline CsAlI2 at its relaxed geometry, computed with PBE.

abc: 7.728 7.728 10.222
angles: 67.79 67.79 90.00
Element x y z (fractional)
Al: 0.500 0.500 0.000
Al: 0.250 0.750 0.500
Cs: 0.000 0.000 0.000
Cs: 0.750 0.250 0.500
I: 0.875 0.806 0.750
I: 0.375 0.444 0.750
I: 0.194 0.625 0.250
I: 0.556 0.125 0.250

Calculated values
ρ: 2.66 g cm⁻³
Relative energy among the computed polymorphs: 0.0 meV per atom
SG: I-42d (122)
Energy relative to the elements, uncorrected: -643 meV/atom
Energy: -2.567 eV/atom



# 7
Crystalline Cs3AlI at its relaxed geometry, computed with PBE.

abc: 7.133 7.133 7.133
angles: 90.00 90.00 90.00
Element x y z (fractional)
Al: 0.000 0.000 0.000
Cs: 0.500 0.000 0.000
Cs: 0.000 0.500 0.000
Cs: 0.000 0.000 0.500
I: 0.500 0.500 0.500

Calculated values
ρ: 2.53 g cm⁻³
SG: Pm-3m (221)
Energy relative to the elements, uncorrected: -168 meV/atom
Energy: -1.739 eV/atom



# 8
Crystalline Cs6Al3I14 at its relaxed geometry, computed with PBE.

abc: 7.285 14.035 14.035
angles: 120.00 90.00 90.00
Site moments in Bohr magnetons follow the coordinates.
Element x y z (fractional)
I: 0.279 0.878 0.404  0.05
I: 0.725 0.738 0.195  0.05
I: 0.937 0.804 0.874  0.00
I: 0.458 0.530 0.792  0.00
I: 0.937 0.070 0.196  0.00
I: 0.458 0.262 0.470  0.00
I: 0.725 0.457 0.262  0.05
I: 0.279 0.527 0.122  0.05
I: 0.937 0.126 0.930  0.00
I: 0.458 0.208 0.738  0.00
I: 0.279 0.596 0.473  0.05
I: 0.725 0.805 0.543  0.05
I: 0.465 0.000 0.000  0.00
I: 0.988 0.333 0.667  0.00
Cs: 0.239 0.784 0.106  0.00
Cs: 0.771 0.012 0.452  0.00
Cs: 0.239 0.894 0.678  0.00
Cs: 0.771 0.548 0.560  0.00
Cs: 0.771 0.440 0.988  0.00
Cs: 0.239 0.322 0.216  0.00
Al: 0.503 0.667 0.333  0.22
Al: 0.340 0.333 0.667  0.00
Al: 0.816 0.000 0.000  0.00

Calculated values
ρ: 3.55 g cm⁻³
SG: P3 (143)
Energy relative to the elements, uncorrected: -1098 meV/atom
Energy: -2.753 eV/atom